(1)
This record from the Alexandria database describes crystalline FeMoP2 at its relaxed geometry. The functional is GGA-PBE.

a = 2.925 Å, b = 4.363 Å, c = 4.045 Å
α = 90.00°, β = 90.00°, γ = 90.00°
Space group Pmm2 (No. 25)
Unique sites:
Fe 0.000 0.000 0.000 [1 per cell]
Mo 0.500 0.500 0.746 [1 per cell]
P 0.000 0.500 0.235 [1 per cell]
P 0.500 0.000 0.473 [1 per cell]

Output
**Energy**: -31.09 eV for the cell shown
**ΔE_f**: -245 meV/atom


(2)
This record from the Alexandria database describes crystalline ZrSnO4 at its relaxed geometry. The functional is GGA-PBE.

a = 6.899 Å, b = 6.964 Å, c = 3.252 Å
α = 90.00°, β = 90.00°, γ = 90.00°
Space group Cmmm (No. 65)
Unique sites:
Zr 0.000 0.000 0.000 [2 per cell]
Sn 0.000 0.500 0.500 [2 per cell]
O 0.000 0.307 0.000 [4 per cell]
O 0.196 0.000 0.500 [4 per cell]

Output
**Energy relative to the elements, uncorrected**: -2.463 eV/atom
**Energy**: -94.32 eV for the cell shown


(3)
This record from the Alexandria database describes crystalline NbP3C at its relaxed geometry. The functional is GGA-PBE.

a = 4.802 Å, b = 4.802 Å, c = 4.802 Å
α = 90.00°, β = 90.00°, γ = 90.00°
Space group Pm-3m (No. 221)
Unique sites:
Nb 0.000 0.000 0.000 [1 per cell]
P 0.000 0.000 0.500 [3 per cell]
C 0.500 0.500 0.500 [1 per cell]

Output
**Energy**: -26.75 eV for the cell shown
**Excess energy over the best structure of this formula in the dataset**: 0.955 eV per atom
**ΔE_f**: 1754 meV/atom


What is the formula in the first record?
FeMoP2


Among the records above, which one has the highest energy?
NbP3C


Among the records above, which one has the lowest energy?
ZrSnO4


The lowest energy belongs to which entry?
ZrSnO4